Record 1
Below is a crystal of CaCrTe2I relaxed with PBEsol, with properties calculated at the meta-GGA SCAN level.

The total magnetic moment is 3.341 μB per formula unit. The value obtained for the raw formation energy is -0.5895 eV per atom. The calculated total energy comes out at -28.45 eV/atom.

Geometry as CIF:
```
data_CaCrTe2I
_symmetry_space_group_name_H-M 'P 4/m m m'
_symmetry_Int_Tables_number 123
_symmetry_space_group_name_Hall '-P 4 2'
_cell_length_a 5.280
_cell_length_b 5.280
_cell_length_c 5.418
_cell_angle_alpha 90.00
_cell_angle_beta 90.00
_cell_angle_gamma 90.00
loop_
_atom_site_label
_atom_site_fract_x
_atom_site_fract_y
_atom_site_fract_z
Ca1 0.000 0.000 0.000
Cr1 0.500 0.500 0.500
Te1 0.000 0.500 0.500
I1 0.500 0.500 0.000
```



Record 2
Below is a crystal of Ca2CrIn relaxed with PBEsol, with properties calculated at the meta-GGA SCAN level.

The total magnetic moment is 4.858 μB per formula unit. The value obtained for the formation energy is -0.108 eV/atom. The calculated total energy comes out at -17.88 eV/atom.

Geometry as CIF:
```
data_Ca2CrIn
_symmetry_space_group_name_H-M 'P 4/m m m'
_symmetry_Int_Tables_number 123
_symmetry_space_group_name_Hall '-P 4 2'
_cell_length_a 3.731
_cell_length_b 3.731
_cell_length_c 7.576
_cell_angle_alpha 90.00
_cell_angle_beta 90.00
_cell_angle_gamma 90.00
loop_
_atom_site_label
_atom_site_fract_x
_atom_site_fract_y
_atom_site_fract_z
Ca1 0.000 0.000 0.246
Cr1 0.500 0.500 0.000
In1 0.500 0.500 0.500
```



- Number 2 is which compound?
  Ca2CrIn



What did the first record say?
Below is a crystal of CaCrTe2I relaxed with PBEsol, with properties calculated at the meta-GGA SCAN level.

The total magnetic moment is 3.341 μB per formula unit. The value obtained for the raw formation energy is -0.5895 eV per atom. The calculated total energy comes out at -28.45 eV/atom.

Geometry as CIF:
```
data_CaCrTe2I
_symmetry_space_group_name_H-M 'P 4/m m m'
_symmetry_Int_Tables_number 123
_symmetry_space_group_name_Hall '-P 4 2'
_cell_length_a 5.280
_cell_length_b 5.280
_cell_length_c 5.418
_cell_angle_alpha 90.00
_cell_angle_beta 90.00
_cell_angle_gamma 90.00
loop_
_atom_site_label
_atom_site_fract_x
_atom_site_fract_y
_atom_site_fract_z
Ca1 0.000 0.000 0.000
Cr1 0.500 0.500 0.500
Te1 0.000 0.500 0.500
I1 0.500 0.500 0.000
```